No. 1
# AlRu2W meta-GGA SCAN PBEsol geometry
data_AlRu2W
_symmetry_space_group_name_H-M 'P 4/m m m'
_symmetry_Int_Tables_number 123
_symmetry_space_group_name_Hall '-P 4 2'
_cell_length_a 2.967
_cell_length_b 2.967
_cell_length_c 6.282
_cell_angle_alpha 90.00
_cell_angle_beta 90.00
_cell_angle_gamma 90.00
loop_
_atom_site_label
_atom_site_fract_x
_atom_site_fract_y
_atom_site_fract_z
_atom_site_occupancy
Al1 0.000 0.000 0.000 1
Ru1 0.500 0.500 0.238 1
W1 0.000 0.000 0.500 1
# - M_tot: 0.00 μB/atom
# - Formation enthalpy at 0 K: -0.495 eV/atom

---

No. 2
# Sr5As3O12F meta-GGA SCAN PBEsol geometry
data_Sr5As3O12F
_symmetry_space_group_name_H-M 'P 63/m'
_symmetry_Int_Tables_number 176
_symmetry_space_group_name_Hall '-P 6c'
_cell_length_a 9.9850
_cell_length_b 9.9850
_cell_length_c 7.4072
_cell_angle_alpha 90.00
_cell_angle_beta 90.00
_cell_angle_gamma 120.00
loop_
_atom_site_label
_atom_site_fract_x
_atom_site_fract_y
_atom_site_fract_z
_atom_site_occupancy
Sr1 0.0093 0.2490 0.2500 1
Sr2 0.3333 0.6667 0.0005 1
As1 0.0311 0.3993 0.7500 1
O1 0.0936 0.3433 0.5651 1
O2 0.1263 0.5978 0.7500 1
O3 0.1655 0.6804 0.2500 1
F1 0.0000 0.0000 0.2500 1
# - M_tot: 0.00 μB/atom
# - ΔE_f (raw): -2666.0 meV/atom

---

No. 3
# Li2MnP2O7 meta-GGA SCAN PBEsol geometry
data_Li2MnP2O7
_symmetry_space_group_name_H-M 'I m m 2'
_symmetry_Int_Tables_number 44
_symmetry_space_group_name_Hall 'I 2 -2'
_cell_length_a 6.378
_cell_length_b 12.973
_cell_length_c 7.173
_cell_angle_alpha 90.00
_cell_angle_beta 90.00
_cell_angle_gamma 90.00
loop_
_atom_site_label
_atom_site_fract_x
_atom_site_fract_y
_atom_site_fract_z
_atom_site_occupancy
Li1 0.249 0.228 0.000 1
Mn1 0.231 0.500 0.494 1
P1 0.000 0.110 0.694 1
P2 0.000 0.390 0.804 1
O1 0.000 0.000 0.588 1
O2 0.000 0.193 0.547 1
O3 0.000 0.307 0.951 1
O4 0.000 0.500 0.911 1
O5 0.199 0.111 0.818 1
O6 0.199 0.389 0.680 1
# - M_tot: 0.33 μB/atom
# - ΔE_f (raw): -2413.5 meV/atom

---

No. 4
# CdTcIr2 meta-GGA SCAN PBEsol geometry
data_CdTcIr2
_symmetry_space_group_name_H-M 'C 1 2/m 1'
_symmetry_Int_Tables_number 12
_symmetry_space_group_name_Hall '-C 2y'
_cell_length_a 9.139
_cell_length_b 2.731
_cell_length_c 4.870
_cell_angle_alpha 90.00
_cell_angle_beta 98.96
_cell_angle_gamma 90.00
loop_
_atom_site_label
_atom_site_fract_x
_atom_site_fract_y
_atom_site_fract_z
_atom_site_occupancy
Cd1 0.000 0.000 0.000 1
Tc1 0.000 0.500 0.500 1
Ir1 0.243 0.000 0.733 1
# - M_tot: 0.00 μB/atom
# - Formation enthalpy at 0 K: 0.194 eV/atom

---

The calculation returns the following calculated volume values, one per record and in order: 13.8; 15.2; 12.4; 15.0 A^3/atom.